Record 1
This record from the Alexandria database describes crystalline YAsI3 at its relaxed geometry. The functional is PBE.

Energy above the lowest structure with this stoichiometry in meV/atom: 566
Energy in eV per atom: -3.019
ΔE_f (raw) in eV per atom: 0.13

```
YAsI3
1.0
-1.962 -3.716 3.846
0.968 -4.275 -3.638
5.259 -0.599 2.104
I Y As
3 1 1
Direct
0.000 0.500 0.000
0.000 0.000 0.500
0.500 0.000 0.000
0.500 0.500 0.500
0.000 0.000 0.000
```



Record 2
This record from the Alexandria database describes crystalline ZnReMo2S at its relaxed geometry. The functional is PBE.

Energy in eV per atom: -7.268
ΔE_f (raw) in eV per atom: 0.63

```
ZnReMo2S
1.0
-2.290 1.655 -3.374
-1.072 -4.041 -1.254
-3.599 0.171 2.527
S Re Mo Zn
1 1 2 1
Direct
0.000 0.000 0.000
0.000 0.500 0.000
0.000 0.000 0.500
0.500 0.000 0.000
0.500 0.500 0.500
```



Record 3
This record from the Alexandria database describes crystalline AcNd2Tm at its relaxed geometry. The functional is PBE.

Energy above the lowest structure with this stoichiometry in meV/atom: 11
Energy in eV per atom: -4.484
Energy of formation from the pure elements in eV/atom: 0.045

```
AcNd2Tm
1.0
-1.383 -3.090 1.721
5.370 -2.677 3.689
1.175 0.975 6.876
Ac Nd Tm
1 2 1
Direct
0.250 0.176 0.324
0.006 0.071 0.917
0.494 0.583 0.429
0.750 0.670 0.830
```



Record 4
This record from the Alexandria database describes crystalline TbY3Ag4 at its relaxed geometry. The functional is PBE.

Energy in eV per atom: -4.753
Energy of formation from the pure elements in eV/atom: -0.325

```
TbY3Ag4
1.0
-3.450 -0.087 1.179
-0.299 -3.455 -1.129
4.577 -4.661 13.054
Y Tb Ag
3 1 4
Direct
0.500 0.500 0.250
0.500 0.500 0.500
0.500 0.500 0.750
0.500 0.500 0.000
0.000 0.000 0.875
0.000 0.000 0.125
0.000 0.000 0.375
0.000 0.000 0.625
```



Record 5
This record from the Alexandria database describes crystalline TbErMg17 at its relaxed geometry. The functional is PBE.

Energy in eV per atom: -1.920
Energy of formation from the pure elements in eV/atom: -0.009

```
TbErMg17
1.0
7.711 0.076 0.995
0.884 7.661 0.995
0.084 0.076 7.775
Tb Er Mg
1 1 17
Direct
0.672 0.672 0.672
0.328 0.328 0.328
0.304 0.001 0.695
0.695 0.304 0.001
0.001 0.695 0.304
0.304 0.695 0.001
0.001 0.304 0.695
0.695 0.001 0.304
0.353 0.842 0.353
0.353 0.353 0.842
0.842 0.353 0.353
0.646 0.162 0.646
0.646 0.646 0.162
0.162 0.646 0.646
0.998 0.502 0.998
0.998 0.998 0.502
0.502 0.998 0.998
0.901 0.901 0.901
0.100 0.100 0.100
```



Record 6
This record from the Alexandria database describes crystalline BeCuHRh2 at its relaxed geometry. The functional is PBE.

Energy above the lowest structure with this stoichiometry in meV/atom: 4
Energy in eV per atom: -5.252

```
BeCuHRh2
1.0
-1.149 3.808 0.048
-3.765 -1.128 -0.613
-0.476 -0.184 3.262
Be Rh Cu H
1 2 1 1
Direct
0.500 0.500 0.500
0.000 0.500 0.000
0.500 0.000 0.000
0.000 0.000 0.500
0.000 0.000 0.000
```